Entry 1:
Compound: ScPdIN2
Source: Alexandria via LeMat-Bulk
Functional: PBE
Structure: optimized geometry

Unit cell a=4.138 b=4.138 c=5.301 alpha=90.00 beta=90.00 gamma=90.00
Sites, in units of the cell vectors:
Sc  0.000  0.000  0.000
Pd  0.500  0.500  0.500
I  0.500  0.500  0.000
N  0.000  0.500  0.500
N  0.500  0.000  0.500

Properties
formation energy (no corrections) = 1.114 eV/atom
final energy = -4.83 eV per atom
space group = P4/mmm


Entry 2:
Compound: TlRe4
Source: Alexandria via LeMat-Bulk
Functional: PBE
Structure: optimized geometry

Unit cell a=4.790 b=4.790 c=4.790 alpha=90.00 beta=90.00 gamma=90.00
Sites, in units of the cell vectors:
Tl  0.000  0.000  0.000
Re  0.000  0.000  0.500
Re  0.000  0.500  0.000
Re  0.500  0.000  0.000
Re  0.500  0.500  0.500

Properties
final energy = -6.68 eV per atom
DFT formation energy = 3.748 eV/atom
space group = Pm-3m


Entry 3:
Compound: CaSc5Au6
Source: Alexandria via LeMat-Bulk
Functional: PBE
Structure: optimized geometry

Unit cell a=8.412 b=8.412 c=8.412 alpha=146.52 beta=131.47 gamma=60.24
Sites, in units of the cell vectors:
Ca  0.000  0.000  0.000
Sc  0.162  0.662  0.500
Sc  0.331  0.331  0.000
Sc  0.500  0.000  0.500
Sc  0.669  0.669  0.000
Sc  0.838  0.338  0.500
Au  0.089  0.825  0.264
Au  0.272  0.500  0.772
Au  0.439  0.175  0.264
Au  0.561  0.825  0.736
Au  0.728  0.500  0.228
Au  0.911  0.175  0.736

Properties
final energy = -5.23 eV per atom
DFT formation energy = -0.788 eV/atom
space group = Immm


Entry 4:
Compound: LuHfNiRh
Source: Alexandria via LeMat-Bulk
Functional: PBE
Structure: optimized geometry

Unit cell a=4.644 b=4.644 c=4.644 alpha=60.00 beta=60.00 gamma=60.00
Sites, in units of the cell vectors:
Lu  0.000  0.000  0.000
Hf  0.500  0.500  0.500
Ni  0.750  0.750  0.750
Rh  0.250  0.250  0.250

Properties
final energy = -7.56 eV per atom
DFT formation energy = -0.658 eV/atom
space group = F-43m